A geometry-optimized LiVPHO5 structure, computed with PBE with a Hubbard U.

Computed properties:
* relative energy among the computed polymorphs: 0 meV per atom
* volume: 10.22 Å³/atom
* crystal system: triclinic
* space group: P-1 (2)

abc: 5.1778 5.4434 7.4129
angles: 106.35 108.54 98.03
Element x y z (fractional)
Li 0.2450 0.3944 0.3267
Li 0.7550 0.6056 0.6733
V 0.5000 0.0000 0.0000
V 0.5000 0.0000 0.5000
P 0.1757 0.3615 0.7304
P 0.8243 0.6385 0.2696
H 0.1349 0.9406 0.1599
H 0.8651 0.0594 0.8401
O 0.1300 0.7446 0.4284
O 0.1965 0.6567 0.8391
O 0.2256 0.2064 0.8780
O 0.3350 0.0432 0.2222
O 0.3845 0.3392 0.6165
O 0.6155 0.6608 0.3835
O 0.6650 0.9568 0.7778
O 0.7744 0.7936 0.1220
O 0.8035 0.3433 0.1609
O 0.8700 0.2554 0.5716